DFT (PBE) results for an optimized crystal structure of BaMoBr2.

Results
E_form (uncorrected): -0.15 eV per atom
Calculated total energy: -4.177 eV/atom
Spin magnetization: 4.08 μB per formula unit

Cell: 7.931 7.931 7.931 Å, 150.79 147.49 44.27°
Sites, in units of the cell vectors:
Ba  0.000  0.000  0.000
Mo  0.196  0.696  0.500
Br  0.400  0.400  0.000
Br  0.680  0.180  0.500